# 1
A relaxed structure of UFeB4, computed with PBE.

Cell lengths 5.8647, 11.3682, 3.3713 Å; angles 90.00, 90.00, 90.00 degrees
Fractional coordinates of all 24 atoms:
1 B 0.8649 0.0340 0.5000
2 B 0.3867 0.0459 0.5000
3 B 0.7835 0.1868 0.5000
4 B 0.4754 0.1916 0.5000
5 B 0.9754 0.3084 0.5000
6 B 0.2835 0.3132 0.5000
7 B 0.8867 0.4541 0.5000
8 B 0.3649 0.4660 0.5000
9 B 0.6351 0.5340 0.5000
10 B 0.1133 0.5459 0.5000
11 B 0.7165 0.6868 0.5000
12 B 0.0246 0.6916 0.5000
13 B 0.5246 0.8084 0.5000
14 B 0.2165 0.8132 0.5000
15 B 0.6133 0.9541 0.5000
16 B 0.1351 0.9660 0.5000
17 Fe 0.6344 0.0888 0.0000
18 Fe 0.1344 0.4112 0.0000
19 Fe 0.8656 0.5888 0.0000
20 Fe 0.3656 0.9112 0.0000
21 U 0.1271 0.1504 0.0000
22 U 0.6271 0.3496 0.0000
23 U 0.3729 0.6504 0.0000
24 U 0.8729 0.8496 0.0000



# 2
A relaxed structure of FeBW, computed with PBE.

Cell lengths 3.7429, 3.7429, 3.7429 Å; angles 60.00, 60.00, 60.00 degrees
Fractional coordinates of all 3 atoms:
1 B 0.2500 0.2500 0.2500
2 Fe 0.0000 0.0000 0.0000
3 W 0.7500 0.7500 0.7500



# 3
A relaxed structure of FeBW, computed with PBE.

Cell lengths 3.8329, 3.8329, 3.8329 Å; angles 60.00, 60.00, 60.00 degrees
Fractional coordinates of all 3 atoms:
1 B 0.2500 0.2500 0.2500
2 Fe 0.7500 0.7500 0.7500
3 W 0.0000 0.0000 0.0000



# 4
A relaxed structure of FeBW, computed with PBE.

Cell lengths 3.7240, 3.7240, 5.5199 Å; angles 90.00, 90.00, 120.00 degrees
Fractional coordinates of all 6 atoms:
1 B 0.3333 0.6667 0.4624
2 B 0.6667 0.3333 0.9624
3 Fe 0.3333 0.6667 0.0498
4 Fe 0.6667 0.3333 0.5498
5 W 0.0000 0.0000 0.2377
6 W 0.0000 0.0000 0.7377



# 5
A relaxed structure of FeBW, computed with PBE.

Cell lengths 5.3030, 3.1048, 8.1124 Å; angles 90.00, 90.00, 90.00 degrees
Fractional coordinates of all 12 atoms:
1 B 0.6936 0.2500 0.1716
2 B 0.1936 0.2500 0.3284
3 B 0.8064 0.7500 0.6716
4 B 0.3064 0.7500 0.8284
5 Fe 0.8749 0.7500 0.0533
6 Fe 0.3749 0.7500 0.4467
7 Fe 0.6251 0.2500 0.5533
8 Fe 0.1251 0.2500 0.9467
9 W 0.3763 0.7500 0.1388
10 W 0.8763 0.7500 0.3612
11 W 0.1237 0.2500 0.6388
12 W 0.6237 0.2500 0.8612



# 6
A relaxed structure of FeBW, computed with PBE.

Cell lengths 5.4246, 4.4892, 4.4279 Å; angles 74.94, 53.05, 52.02 degrees
Fractional coordinates of all 6 atoms:
1 B 0.2500 0.2500 0.2500
2 B 0.7500 0.7500 0.7500
3 Fe 0.3227 0.6773 0.3227
4 Fe 0.6773 0.3227 0.6773
5 W 0.8335 0.8335 0.1665
6 W 0.1665 0.1665 0.8335



# 7
A relaxed structure of FeBW, computed with PBE.

Cell lengths 5.7709, 5.7709, 3.2347 Å; angles 90.00, 90.00, 120.00 degrees
Fractional coordinates of all 9 atoms:
1 B 0.6667 0.3333 0.0000
2 B 0.3333 0.6667 0.0000
3 B 0.0000 0.0000 0.5000
4 Fe 0.2397 0.0000 0.0000
5 Fe 0.0000 0.2397 0.0000
6 Fe 0.7603 0.7603 0.0000
7 W 0.5861 0.0000 0.5000
8 W 0.4139 0.4139 0.5000
9 W 0.0000 0.5861 0.5000



# 8
A relaxed structure of FeBW, computed with PBE.

Cell lengths 5.8445, 3.1625, 6.7897 Å; angles 90.00, 90.00, 90.00 degrees
Fractional coordinates of all 12 atoms:
1 B 0.2340 0.2500 0.1334
2 B 0.7340 0.2500 0.3666
3 B 0.2660 0.7500 0.6334
4 B 0.7660 0.7500 0.8666
5 Fe 0.8570 0.2500 0.0575
6 Fe 0.3570 0.2500 0.4425
7 Fe 0.6430 0.7500 0.5575
8 Fe 0.1430 0.7500 0.9425
9 W 0.5296 0.7500 0.1737
10 W 0.0296 0.7500 0.3263
11 W 0.9704 0.2500 0.6737
12 W 0.4704 0.2500 0.8263



Number 1: uncorrected energy -198.3 eV for the cell shown. Number 2: uncorrected energy -26.7 eV for the cell shown. Number 3: uncorrected energy -25.3 eV for the cell shown. Number 4: uncorrected energy -55.4 eV for the cell shown. Number 5: uncorrected energy -110.4 eV for the cell shown. Number 6: uncorrected energy -56.7 eV for the cell shown. Number 7: uncorrected energy -87.0 eV for the cell shown. Number 8: uncorrected energy -116.2 eV for the cell shown.